8
Lattice="-5.629 4.533 -0.569 -1.561 -2.757 -6.521 -5.243 -1.008 -2.349" Properties=species:S:1:pos:R:3 comment="CaCrIr2 GGA-PBE relaxed" relative_energy_mev_per_atom=401.4 delta_e_f_ev_per_fu=1.09 e_tot_ev_per_atom=-7.064 pbc="T T T"
Cr 0.000 0.000 0.000
Cr -7.233 2.207 -3.232
Ca -3.595 0.888 -3.545
Ca -5.199 -1.438 -6.208
Ir -5.376 2.520 -1.794
Ir -2.638 -1.692 -4.698
Ir -6.531 0.083 -4.013
Ir -10.321 0.626 -8.373


10
Lattice="-1.043 -0.522 -3.333 -8.347 -7.881 3.847 -3.152 8.463 -0.338" Properties=species:S:1:pos:R:3 comment="La7Nd2Ho GGA-PBE relaxed" relative_energy_mev_per_atom=0.0 delta_e_f_ev_per_fu=1.26 e_tot_ev_per_atom=-4.734 pbc="T T T"
La -5.798 -2.965 2.279
La -5.701 3.546 1.230
La -3.342 1.462 -1.053
La -9.201 -1.402 1.229
La -3.372 -1.962 -0.508
La -9.170 2.022 0.684
La -6.271 0.030 0.088
Nd -8.945 -4.848 1.688
Nd -3.598 4.908 -1.513
Ho 0.000 0.000 0.000


80
Lattice="-8.088 -10.600 7.042 12.930 2.221 7.432 -7.844 12.871 -0.397" Properties=species:S:1:pos:R:3 comment="In12Hg3Se5 GGA-PBE relaxed" e_tot_ev_per_atom=-2.654 pbc="T T T"
Hg -2.198 -5.508 8.019
Hg 1.640 -6.000 11.686
Hg 1.762 5.735 7.967
Hg -3.347 2.454 2.540
Hg -7.422 -5.779 6.991
Hg 3.087 0.631 7.186
Hg -6.089 3.861 6.890
Hg 4.419 10.272 7.086
Hg 0.345 2.038 11.536
Hg -4.764 -1.243 6.110
Hg -4.642 10.492 2.391
Hg -0.805 10.000 6.058
Se 1.877 2.726 3.568
Se 6.465 1.111 3.716
Se 0.000 0.000 0.000
Se -0.781 -1.811 4.449
Se -7.966 1.136 3.322
Se 2.421 -4.189 7.237
Se 5.745 5.168 6.305
Se -11.313 3.590 5.863
Se -0.926 -1.735 9.777
Se -7.300 5.956 3.272
Se 4.298 -1.463 10.805
Se -1.501 2.246 7.038
Se -4.044 -5.300 3.521
Se -3.922 6.435 -0.199
Se -2.076 6.227 4.299
Se 8.311 0.903 8.214
Se 2.543 7.546 3.518
Se -8.747 -0.675 7.771
Se -2.221 6.303 9.628
Se -4.879 1.767 10.509
In -4.512 -6.649 6.155
In 1.278 3.099 6.312
In -5.118 -5.682 9.186
In -2.682 -3.588 5.568
In -0.581 4.021 9.270
In -1.403 -6.504 10.899
In 4.064 3.539 7.902
In 10.031 2.970 7.323
In 2.206 4.525 10.841
In 0.363 -4.231 9.414
In -3.345 -2.592 8.578
In 4.677 -6.016 12.638
In 3.885 7.301 6.185
In 1.814 -1.764 5.585
In 8.345 5.735 7.277
In -6.091 3.436 3.736
In -0.292 2.396 1.775
In 4.430 -2.121 8.053
In 2.964 -3.270 12.532
In 3.552 0.490 4.041
In 3.220 8.233 9.215
In 0.332 0.569 8.713
In -1.055 -0.685 12.405
In -9.140 4.312 7.531
In -3.334 3.923 5.364
In -1.948 5.177 1.671
In 6.138 0.181 6.546
In -5.966 7.762 1.544
In -6.223 -3.740 4.862
In -6.554 4.002 10.036
In -7.432 6.614 6.024
In 3.089 1.057 10.341
In -2.710 2.097 12.301
In -11.347 -1.243 6.800
In -6.887 -2.808 7.891
In -7.679 10.509 1.439
In -4.816 6.257 8.491
In -5.208 -0.032 3.236
In -3.365 8.724 4.663
In 0.343 7.085 5.499
In -13.033 1.522 6.754
In -7.067 0.954 6.174
In -0.320 8.081 8.508
In -1.600 10.997 3.177
In -2.421 0.472 4.806
In 2.116 10.175 4.891
In -4.280 1.393 7.765
In 1.510 11.141 7.922